(1)
An optimized crystal structure of MnCuP2I. Source: Alexandria, functional PBEsol.

Summary:
DOS(E_F): 3.2 states/eV per cell
ΔE_f (raw): 912.6 meV/atom
electronic total energy: -4.576 eV per atom
symmetry: P4/mmm

Cell lengths 4.2962, 4.2962, 6.0175 Å; angles 90.00, 90.00, 90.00 degrees
Positions (direct):
1 Mn 0.0000 0.0000 0.0000
2 Cu 0.5000 0.5000 0.5000
3 P 0.0000 0.5000 0.5000
4 P 0.5000 0.0000 0.5000
5 I 0.5000 0.5000 0.0000

(2)
An optimized crystal structure of As4Ir. Source: Alexandria, functional PBEsol.

Summary:
DOS(E_F): 2.2 states/eV per cell
E above lowest polymorph: 0.000 eV/atom
energy relative to the elements: 0.137 eV per atom
electronic total energy: -5.913 eV per atom
symmetry: I4/m

Cell lengths 5.5222, 5.5222, 5.5222 Å; angles 96.53, 96.53, 140.59 degrees
Positions (direct):
1 As 0.0248 0.2431 0.2680
2 As 0.2431 0.9752 0.2183
3 As 0.7569 0.0248 0.7817
4 As 0.9752 0.7569 0.7320
5 Ir 0.5000 0.5000 0.0000

(3)
An optimized crystal structure of Be5Zn. Source: Alexandria, functional PBEsol.

Summary:
DOS(E_F): 0.3 states/eV per cell
energy relative to the elements: 0.071 eV per atom
electronic total energy: -3.526 eV per atom
symmetry: P-62m

Cell lengths 4.0925, 4.0925, 3.6740 Å; angles 90.00, 90.00, 120.00 degrees
Positions (direct):
1 Be 0.0000 0.6415 0.0000
2 Be 0.3333 0.6667 0.5000
3 Be 0.3585 0.3585 0.0000
4 Be 0.6415 0.0000 0.0000
5 Be 0.6667 0.3333 0.5000
6 Zn 0.0000 0.0000 0.5000

(4)
An optimized crystal structure of ScWBr. Source: Alexandria, functional PBEsol.

Summary:
DOS(E_F): 2.3 states/eV per cell
E above lowest polymorph: 0.000 eV/atom
ΔE_f (raw): 317.8 meV/atom
electronic total energy: -7.110 eV per atom
symmetry: Fmm2

Cell lengths 7.6412, 7.4774, 2.9714 Å; angles 81.78, 75.58, 22.64 degrees
Positions (direct):
1 Sc 0.0000 0.0000 0.0000
2 W 0.3566 0.3566 0.6434
3 Br 0.6350 0.6350 0.3650

(5)
An optimized crystal structure of TlSb2HI. Source: Alexandria, functional PBEsol.

Summary:
DOS(E_F): 3.5 states/eV per cell
electronic total energy: -2.228 eV per atom
symmetry: P4/mmm

Cell lengths 5.7037, 5.7037, 6.2609 Å; angles 90.00, 90.00, 90.00 degrees
Positions (direct):
1 Tl 0.0000 0.0000 0.0000
2 Sb 0.0000 0.5000 0.0000
3 Sb 0.5000 0.0000 0.0000
4 H 0.5000 0.5000 0.5000
5 I 0.0000 0.0000 0.5000

(6)
An optimized crystal structure of Na3GePCO7. Source: Alexandria, functional PBEsol.

Summary:
DOS(E_F): 0.0 states/eV per cell
E above lowest polymorph: 0.000 eV/atom
ΔE_f (raw): -1855.7 meV/atom
electronic total energy: -6.573 eV per atom
symmetry: P2_1

Cell lengths 5.3800, 6.7672, 9.3043 Å; angles 90.00, 96.10, 90.00 degrees
Positions (direct):
1 Na 0.0128 0.0000 0.0209
2 Na 0.4697 0.3155 0.1607
3 Na 0.4740 0.9685 0.4693
4 Na 0.5260 0.4685 0.5307
5 Na 0.5303 0.8155 0.8393
6 Na 0.9872 0.5000 0.9791
7 Ge 0.0588 0.2069 0.6616
8 Ge 0.9412 0.7069 0.3384
9 P 0.0164 0.6983 0.6672
10 P 0.9836 0.1983 0.3328
11 C 0.4627 0.2398 0.8625
12 C 0.5373 0.7398 0.1375
13 O 0.0421 0.9714 0.3115
14 O 0.0453 0.2995 0.1951
15 O 0.1742 0.2622 0.4655
16 O 0.2639 0.2440 0.9286
17 O 0.2858 0.7289 0.6308
18 O 0.3194 0.7329 0.0705
19 O 0.4290 0.2381 0.7184
20 O 0.5710 0.7381 0.2816
21 O 0.6806 0.2329 0.9295
22 O 0.7142 0.2289 0.3692
23 O 0.7361 0.7440 0.0714
24 O 0.8258 0.7622 0.5345
25 O 0.9547 0.7995 0.8049
26 O 0.9579 0.4714 0.6885

(7)
An optimized crystal structure of SiAgPt2. Source: Alexandria, functional PBEsol.

Summary:
DOS(E_F): 1.6 states/eV per cell
ΔE_f (raw): -29.4 meV/atom
electronic total energy: -5.776 eV per atom
symmetry: F-43m

Cell lengths 4.3898, 4.3898, 4.3898 Å; angles 60.00, 60.00, 60.00 degrees
Positions (direct):
1 Si 0.0000 0.0000 0.0000
2 Ag 0.2500 0.2500 0.2500
3 Pt 0.5000 0.5000 0.5000
4 Pt 0.7500 0.7500 0.7500

(8)
An optimized crystal structure of CaTiCr3. Source: Alexandria, functional PBEsol.

Summary:
DOS(E_F): 6.3 states/eV per cell
energy relative to the elements: 2.199 eV per atom
electronic total energy: -6.037 eV per atom
symmetry: Pm-3m

Cell lengths 4.5916, 4.5916, 4.5916 Å; angles 90.00, 90.00, 90.00 degrees
Positions (direct):
1 Ca 0.0000 0.0000 0.0000
2 Ti 0.5000 0.5000 0.5000
3 Cr 0.0000 0.0000 0.5000
4 Cr 0.0000 0.5000 0.0000
5 Cr 0.5000 0.0000 0.0000

(9)
An optimized crystal structure of ZnAg2C4S4N4. Source: Alexandria, functional PBEsol.

Summary:
DOS(E_F): 0.0 states/eV per cell
ΔE_f (raw): 137.7 meV/atom
electronic total energy: -6.424 eV per atom
symmetry: C2/c

Cell lengths 10.4748, 10.4748, 7.9573 Å; angles 94.76, 94.76, 43.64 degrees
Positions (direct):
1 Zn 0.1631 0.8369 0.7500
2 Zn 0.8369 0.1631 0.2500
3 Ag 0.2119 0.3865 0.2362
4 Ag 0.3865 0.2119 0.7362
5 Ag 0.6135 0.7881 0.2638
6 Ag 0.7881 0.6135 0.7638
7 C 0.0941 0.1674 0.6711
8 C 0.1674 0.0941 0.1711
9 C 0.3504 0.4877 0.5365
10 C 0.4877 0.3504 0.0365
11 C 0.5123 0.6496 0.9635
12 C 0.6496 0.5123 0.4635
13 C 0.8326 0.9059 0.8289
14 C 0.9059 0.8326 0.3289
15 S 0.0859 0.3250 0.6357
16 S 0.2800 0.4530 0.9734
17 S 0.3250 0.0859 0.1357
18 S 0.4530 0.2800 0.4734
19 S 0.5470 0.7200 0.5266
20 S 0.6750 0.9141 0.8643
21 S 0.7200 0.5470 0.0266
22 S 0.9141 0.6750 0.3643
23 N 0.0523 0.1010 0.1905
24 N 0.1010 0.0523 0.6905
25 N 0.2774 0.6374 0.5816
26 N 0.3626 0.7226 0.9184
27 N 0.6374 0.2774 0.0816
28 N 0.7226 0.3626 0.4184
29 N 0.8990 0.9477 0.3095
30 N 0.9477 0.8990 0.8095

(10)
An optimized crystal structure of NpB4H16. Source: Alexandria, functional PBEsol.

Summary:
DOS(E_F): 23.2 states/eV per cell
electronic total energy: -4.574 eV per atom
symmetry: P4_2/nmc

Cell lengths 8.3004, 8.3004, 5.7791 Å; angles 90.00, 90.00, 90.00 degrees
Positions (direct):
1 Np 0.2500 0.7500 0.2500
2 Np 0.7500 0.2500 0.7500
3 B 0.0131 0.7500 0.0045
4 B 0.2500 0.5131 0.4955
5 B 0.2500 0.9869 0.4955
6 B 0.4869 0.7500 0.0045
7 B 0.5131 0.2500 0.9955
8 B 0.7500 0.0131 0.5045
9 B 0.7500 0.4869 0.5045
10 B 0.9869 0.2500 0.9955
11 H 0.0168 0.2500 0.7811
12 H 0.1039 0.2500 0.1178
13 H 0.1050 0.6301 0.9772
14 H 0.1050 0.8699 0.9772
15 H 0.1301 0.6050 0.5228
16 H 0.1301 0.8950 0.5228
17 H 0.2500 0.0168 0.2811
18 H 0.2500 0.1039 0.6178
19 H 0.2500 0.3961 0.6178
20 H 0.2500 0.4832 0.2811
21 H 0.3699 0.6050 0.5228
22 H 0.3699 0.8950 0.5228
23 H 0.3950 0.6301 0.9772
24 H 0.3950 0.8699 0.9772
25 H 0.3961 0.2500 0.1178
26 H 0.4832 0.2500 0.7811
27 H 0.5168 0.7500 0.2189
28 H 0.6039 0.7500 0.8822
29 H 0.6050 0.1301 0.0228
30 H 0.6050 0.3699 0.0228
31 H 0.6301 0.1050 0.4772
32 H 0.6301 0.3950 0.4772
33 H 0.7500 0.5168 0.7189
34 H 0.7500 0.6039 0.3822
35 H 0.7500 0.8961 0.3822
36 H 0.7500 0.9832 0.7189
37 H 0.8699 0.1050 0.4772
38 H 0.8699 0.3950 0.4772
39 H 0.8950 0.1301 0.0228
40 H 0.8950 0.3699 0.0228
41 H 0.8961 0.7500 0.8822
42 H 0.9832 0.7500 0.2189

(11)
An optimized crystal structure of Mn3Nb6O11. Source: Alexandria, functional PBEsol.

Summary:
DOS(E_F): 4.3 states/eV per cell
ΔE_f (raw): -1954.6 meV/atom
electronic total energy: -9.552 eV per atom
symmetry: P-3m1

Cell lengths 6.0744, 6.0744, 7.5848 Å; angles 90.00, 90.00, 120.00 degrees
Positions (direct):
1 Mn 0.0000 0.0000 0.0000
2 Mn 0.3333 0.6667 0.9321
3 Mn 0.6667 0.3333 0.0679
4 Nb 0.1549 0.3098 0.3494
5 Nb 0.1549 0.8451 0.3494
6 Nb 0.3098 0.1549 0.6506
7 Nb 0.6902 0.8451 0.3494
8 Nb 0.8451 0.1549 0.6506
9 Nb 0.8451 0.6902 0.6506
10 O 0.0000 0.5000 0.5000
11 O 0.1585 0.3170 0.8198
12 O 0.1585 0.8415 0.8198
13 O 0.3170 0.1585 0.1802
14 O 0.3333 0.6667 0.1924
15 O 0.5000 0.0000 0.5000
16 O 0.5000 0.5000 0.5000
17 O 0.6667 0.3333 0.8076
18 O 0.6830 0.8415 0.8198
19 O 0.8415 0.1585 0.1802
20 O 0.8415 0.6830 0.1802

(12)
An optimized crystal structure of KCo2Si. Source: Alexandria, functional PBEsol.

Summary:
DOS(E_F): 4.3 states/eV per cell
ΔE_f (raw): 344.1 meV/atom
electronic total energy: -5.244 eV per atom
symmetry: Cm

Cell lengths 4.0689, 4.0689, 7.3613 Å; angles 112.05, 112.05, 39.65 degrees
Positions (direct):
1 K 0.0000 0.0000 0.0000
2 Co 0.1034 0.1034 0.6213
3 Co 0.4039 0.4039 0.3661
4 Si 0.7515 0.7515 0.4908

(13)
An optimized crystal structure of Hg2SbPt. Source: Alexandria, functional PBEsol.

Summary:
DOS(E_F): 1.7 states/eV per cell
ΔE_f (raw): -33.8 meV/atom
electronic total energy: -3.197 eV per atom
symmetry: Pmm2

Cell lengths 2.9682, 3.4984, 8.3676 Å; angles 90.00, 90.00, 90.00 degrees
Positions (direct):
1 Hg 0.0000 0.0000 0.0000
2 Hg 0.5000 0.5000 0.2676
3 Sb 0.5000 0.5000 0.6794
4 Pt 0.0000 0.0000 0.4948

(14)
An optimized crystal structure of Y6WO12. Source: Alexandria, functional PBEsol.

Summary:
DOS(E_F): 0.0 states/eV per cell
ΔE_f (raw): -3395.6 meV/atom
electronic total energy: -9.592 eV per atom
symmetry: R-3

Cell lengths 6.3985, 6.3985, 6.3985 Å; angles 98.62, 98.62, 98.62 degrees
Positions (direct):
1 Y 0.1118 0.6436 0.8147
2 Y 0.1853 0.8882 0.3564
3 Y 0.3564 0.1853 0.8882
4 Y 0.6436 0.8147 0.1118
5 Y 0.8147 0.1118 0.6436
6 Y 0.8882 0.3564 0.1853
7 W 0.5000 0.5000 0.5000
8 O 0.0675 0.3230 0.9089
9 O 0.0911 0.9325 0.6770
10 O 0.2030 0.5334 0.4248
11 O 0.3230 0.9089 0.0675
12 O 0.4248 0.2030 0.5334
13 O 0.4666 0.5752 0.7970
14 O 0.5334 0.4248 0.2030
15 O 0.5752 0.7970 0.4666
16 O 0.6770 0.0911 0.9325
17 O 0.7970 0.4666 0.5752
18 O 0.9089 0.0675 0.3230
19 O 0.9325 0.6770 0.0911

(15)
An optimized crystal structure of CaLaCrIn2. Source: Alexandria, functional PBEsol.

Summary:
DOS(E_F): 3.6 states/eV per cell
energy relative to the elements: 0.717 eV per atom
electronic total energy: -4.020 eV per atom
symmetry: P4/mmm

Cell lengths 5.4812, 5.4812, 5.0240 Å; angles 90.00, 90.00, 90.00 degrees
Positions (direct):
1 Ca 0.0000 0.0000 0.0000
2 La 0.5000 0.5000 0.5000
3 Cr 0.0000 0.0000 0.5000
4 In 0.0000 0.5000 0.0000
5 In 0.5000 0.0000 0.0000

(16)
An optimized crystal structure of AlTl2Cu. Source: Alexandria, functional PBEsol.

Summary:
DOS(E_F): 1.8 states/eV per cell
E above lowest polymorph: 0.057 eV/atom
energy relative to the elements: 0.365 eV per atom
electronic total energy: -3.057 eV per atom
symmetry: I-4m2

Cell lengths 5.7342, 5.7342, 5.7342 Å; angles 138.25, 138.25, 60.53 degrees
Positions (direct):
1 Al 0.0000 0.0000 0.0000
2 Tl 0.2500 0.7500 0.5000
3 Tl 0.5000 0.5000 0.0000
4 Cu 0.7500 0.2500 0.5000

(17)
An optimized crystal structure of KMnTe2. Source: Alexandria, functional PBEsol.

Summary:
DOS(E_F): 1.6 states/eV per cell
ΔE_f (raw): -208.8 meV/atom
electronic total energy: -4.695 eV per atom
symmetry: P4mm

Cell lengths 3.7954, 3.7954, 8.8443 Å; angles 90.00, 90.00, 90.00 degrees
Positions (direct):
1 K 0.0000 0.0000 0.0000
2 Mn 0.5000 0.5000 0.4720
3 Te 0.0000 0.0000 0.3860
4 Te 0.5000 0.5000 0.7640

(18)
An optimized crystal structure of Y2AsIr. Source: Alexandria, functional PBEsol.

Summary:
DOS(E_F): 1.8 states/eV per cell
energy relative to the elements: -1.101 eV per atom
electronic total energy: -8.245 eV per atom
symmetry: Amm2

Cell lengths 4.1880, 5.6168, 5.6168 Å; angles 39.94, 90.00, 90.00 degrees
Positions (direct):
1 Y 0.0000 0.0000 0.0000
2 Y 0.5000 0.2801 0.2801
3 As 0.5000 0.5616 0.5616
4 Ir 0.0000 0.7282 0.7282

(19)
An optimized crystal structure of KP2OsO. Source: Alexandria, functional PBEsol.

Summary:
DOS(E_F): 4.3 states/eV per cell
ΔE_f (raw): 30.8 meV/atom
electronic total energy: -6.005 eV per atom
symmetry: P4/mmm

Cell lengths 4.8349, 4.8349, 3.7842 Å; angles 90.00, 90.00, 90.00 degrees
Positions (direct):
1 K 0.0000 0.0000 0.0000
2 P 0.0000 0.5000 0.5000
3 P 0.5000 0.0000 0.5000
4 Os 0.5000 0.5000 0.5000
5 O 0.5000 0.5000 0.0000

(20)
An optimized crystal structure of Mg2Sc. Source: Alexandria, functional PBEsol.

Summary:
DOS(E_F): 2.9 states/eV per cell
energy relative to the elements: -0.029 eV per atom
electronic total energy: -3.375 eV per atom
symmetry: I4/mmm

Cell lengths 7.0188, 7.0188, 7.0188 Å; angles 153.69, 153.69, 37.55 degrees
Positions (direct):
1 Mg 0.1676 0.1676 0.0000
2 Mg 0.8324 0.8324 0.0000
3 Sc 0.5000 0.5000 0.0000

(21)
An optimized crystal structure of Li3SiRu. Source: Alexandria, functional PBEsol.

Summary:
DOS(E_F): 5.4 states/eV per cell
ΔE_f (raw): 1027.7 meV/atom
electronic total energy: -3.336 eV per atom
symmetry: Pm-3m

Cell lengths 4.3748, 4.3748, 4.3748 Å; angles 90.00, 90.00, 90.00 degrees
Positions (direct):
1 Li 0.0000 0.0000 0.5000
2 Li 0.0000 0.5000 0.0000
3 Li 0.5000 0.0000 0.0000
4 Si 0.0000 0.0000 0.0000
5 Ru 0.5000 0.5000 0.5000

(22)
An optimized crystal structure of NiAg3. Source: Alexandria, functional PBEsol.

Summary:
DOS(E_F): 2.2 states/eV per cell
energy relative to the elements: 0.191 eV per atom
electronic total energy: -3.832 eV per atom
symmetry: Immm

Cell lengths 5.2659, 5.2659, 5.2659 Å; angles 147.50, 129.08, 61.72 degrees
Positions (direct):
1 Ni 0.0000 0.0000 0.0000
2 Ag 0.2353 0.7353 0.5000
3 Ag 0.5000 0.5000 0.0000
4 Ag 0.7647 0.2647 0.5000

(23)
An optimized crystal structure of NaN2O2. Source: Alexandria, functional PBEsol.

Summary:
DOS(E_F): 5.0 states/eV per cell
ΔE_f (raw): 2585.1 meV/atom
electronic total energy: -3.205 eV per atom
symmetry: P4/mmm

Cell lengths 4.5562, 4.5562, 5.1904 Å; angles 90.00, 90.00, 90.00 degrees
Positions (direct):
1 Na 0.0000 0.0000 0.0000
2 N 0.0000 0.0000 0.5000
3 N 0.5000 0.5000 0.5000
4 O 0.0000 0.5000 0.0000
5 O 0.5000 0.0000 0.0000